1.
Below is KScBiN2 after structural relaxation, with properties calculated at the PBE-GGA level.

Summary:
Mass density = 4.684 g/cm³
Formation energy (no corrections) = 2.09 eV per atom
Crystal system = tetragonal
Calculated volume = 114 Å³/f.u.
Symmetry = No. 123

```
data_KScBiN2
_chemical_formula_sum 'K1 Sc1 Bi1 N2'
_cell_length_a 4.459
_cell_length_b 5.725
_cell_length_c 4.459
_cell_angle_alpha 90.00
_cell_angle_beta 90.00
_cell_angle_gamma 90.00
_symmetry_space_group_name_H-M 'P 1'
_symmetry_Int_Tables_number 1
_symmetry_space_group_name_Hall 'P 1'
loop_
_atom_site_label
_atom_site_type_symbol
_atom_site_fract_x
_atom_site_fract_y
_atom_site_fract_z
Sc1 Sc 0.500 0.500 0.500
K1 K 0.000 0.000 0.000
Bi1 Bi 0.000 0.500 0.000
N1 N 0.000 0.000 0.500
N2 N 0.500 0.000 0.000
```

---

2.
Below is KBiSe2N after structural relaxation, with properties calculated at the PBE-GGA level.

Summary:
Relative energy among the computed polymorphs = 0 meV/atom
Mass density = 4.657 g/cm³
Formation energy (no corrections) = 0.35 eV per atom
Crystal system = tetragonal
Calculated volume = 150 Å³/f.u.
Symmetry = No. 123

```
data_KBiSe2N
_chemical_formula_sum 'K1 Bi1 Se2 N1'
_cell_length_a 5.622
_cell_length_b 5.622
_cell_length_c 4.739
_cell_angle_alpha 90.00
_cell_angle_beta 90.00
_cell_angle_gamma 90.00
_symmetry_space_group_name_H-M 'P 1'
_symmetry_Int_Tables_number 1
_symmetry_space_group_name_Hall 'P 1'
loop_
_atom_site_label
_atom_site_type_symbol
_atom_site_fract_x
_atom_site_fract_y
_atom_site_fract_z
K1 K 0.500 0.500 0.500
Bi1 Bi 0.000 0.000 0.000
Se1 Se 0.000 0.500 0.000
Se2 Se 0.500 0.000 0.000
N1 N 0.000 0.000 0.500
```

---

3.
Below is KBiSe2N after structural relaxation, with properties calculated at the PBE-GGA level.

Summary:
Relative energy among the computed polymorphs = 946 meV/atom
Mass density = 4.561 g/cm³
Formation energy (no corrections) = 1.30 eV per atom
Crystal system = tetragonal
Calculated volume = 153 Å³/f.u.
Symmetry = No. 123

```
data_KBiSe2N
_chemical_formula_sum 'K1 Bi1 Se2 N1'
_cell_length_a 5.734
_cell_length_b 5.734
_cell_length_c 4.651
_cell_angle_alpha 90.00
_cell_angle_beta 90.00
_cell_angle_gamma 90.00
_symmetry_space_group_name_H-M 'P 1'
_symmetry_Int_Tables_number 1
_symmetry_space_group_name_Hall 'P 1'
loop_
_atom_site_label
_atom_site_type_symbol
_atom_site_fract_x
_atom_site_fract_y
_atom_site_fract_z
K1 K 0.000 0.000 0.000
Bi1 Bi 0.500 0.500 0.500
Se1 Se 0.000 0.500 0.000
Se2 Se 0.500 0.000 0.000
N1 N 0.000 0.000 0.500
```

---

4.
Below is KSi2BiN after structural relaxation, with properties calculated at the PBE-GGA level.

Summary:
Mass density = 5.123 g/cm³
Formation energy (no corrections) = 0.82 eV per atom
Crystal system = tetragonal
Calculated volume = 103 Å³/f.u.
Symmetry = No. 123

```
data_KSi2BiN
_chemical_formula_sum 'K1 Si2 Bi1 N1'
_cell_length_a 4.484
_cell_length_b 5.131
_cell_length_c 4.484
_cell_angle_alpha 90.00
_cell_angle_beta 90.00
_cell_angle_gamma 90.00
_symmetry_space_group_name_H-M 'P 1'
_symmetry_Int_Tables_number 1
_symmetry_space_group_name_Hall 'P 1'
loop_
_atom_site_label
_atom_site_type_symbol
_atom_site_fract_x
_atom_site_fract_y
_atom_site_fract_z
K1 K 0.500 0.500 0.500
Si1 Si 0.000 0.000 0.500
Si2 Si 0.500 0.000 0.000
Bi1 Bi 0.000 0.500 0.000
N1 N 0.000 0.000 0.000
```

---

5.
Below is KSr2BiN after structural relaxation, with properties calculated at the PBE-GGA level.

Summary:
Mass density = 4.840 g/cm³
Formation energy (no corrections) = -0.44 eV per atom
Crystal system = tetragonal
Calculated volume = 150 Å³/f.u.
Symmetry = No. 123

```
data_KSr2BiN
_chemical_formula_sum 'K1 Sr2 Bi1 N1'
_cell_length_a 5.322
_cell_length_b 5.322
_cell_length_c 5.298
_cell_angle_alpha 90.00
_cell_angle_beta 90.00
_cell_angle_gamma 90.00
_symmetry_space_group_name_H-M 'P 1'
_symmetry_Int_Tables_number 1
_symmetry_space_group_name_Hall 'P 1'
loop_
_atom_site_label
_atom_site_type_symbol
_atom_site_fract_x
_atom_site_fract_y
_atom_site_fract_z
Sr1 Sr 0.000 0.500 0.000
Sr2 Sr 0.500 0.000 0.000
K1 K 0.000 0.000 0.500
Bi1 Bi 0.500 0.500 0.500
N1 N 0.000 0.000 0.000
```

---

6.
Below is KTc2BiN after structural relaxation, with properties calculated at the PBE-GGA level.

Summary:
Mass density = 8.477 g/cm³
Formation energy (no corrections) = 0.62 eV per atom
Crystal system = tetragonal
Calculated volume = 90 Å³/f.u.
Symmetry = No. 123

```
data_KTc2BiN
_chemical_formula_sum 'K1 Tc2 Bi1 N1'
_cell_length_a 4.143
_cell_length_b 5.228
_cell_length_c 4.143
_cell_angle_alpha 90.00
_cell_angle_beta 90.00
_cell_angle_gamma 90.00
_symmetry_space_group_name_H-M 'P 1'
_symmetry_Int_Tables_number 1
_symmetry_space_group_name_Hall 'P 1'
loop_
_atom_site_label
_atom_site_type_symbol
_atom_site_fract_x
_atom_site_fract_y
_atom_site_fract_z
K1 K 0.000 0.500 0.000
N1 N 0.000 0.000 0.000
Bi1 Bi 0.500 0.500 0.500
Tc1 Tc 0.000 0.000 0.500
Tc2 Tc 0.500 0.000 0.000
```

---

7.
Below is KBiTeN2 after structural relaxation, with properties calculated at the PBE-GGA level.

Summary:
Relative energy among the computed polymorphs = 799 meV/atom
Mass density = 4.153 g/cm³
Formation energy (no corrections) = 1.88 eV per atom
Crystal system = tetragonal
Calculated volume = 161 Å³/f.u.
Symmetry = No. 123

```
data_KBiTeN2
_chemical_formula_sum 'K1 Bi1 Te1 N2'
_cell_length_a 4.887
_cell_length_b 4.887
_cell_length_c 6.759
_cell_angle_alpha 90.00
_cell_angle_beta 90.00
_cell_angle_gamma 90.00
_symmetry_space_group_name_H-M 'P 1'
_symmetry_Int_Tables_number 1
_symmetry_space_group_name_Hall 'P 1'
loop_
_atom_site_label
_atom_site_type_symbol
_atom_site_fract_x
_atom_site_fract_y
_atom_site_fract_z
K1 K 0.000 0.000 0.000
Te1 Te 0.000 0.000 0.500
Bi1 Bi 0.500 0.500 0.500
N1 N 0.000 0.500 0.000
N2 N 0.500 0.000 0.000
```

---

8.
Below is KBiTe2N after structural relaxation, with properties calculated at the PBE-GGA level.

Summary:
Relative energy among the computed polymorphs = 1021 meV/atom
Mass density = 5.481 g/cm³
Formation energy (no corrections) = 1.48 eV per atom
Crystal system = tetragonal
Calculated volume = 157 Å³/f.u.
Symmetry = No. 123

```
data_KBiTe2N
_chemical_formula_sum 'K1 Bi1 Te2 N1'
_cell_length_a 6.027
_cell_length_b 6.027
_cell_length_c 4.313
_cell_angle_alpha 90.00
_cell_angle_beta 90.00
_cell_angle_gamma 90.00
_symmetry_space_group_name_H-M 'P 1'
_symmetry_Int_Tables_number 1
_symmetry_space_group_name_Hall 'P 1'
loop_
_atom_site_label
_atom_site_type_symbol
_atom_site_fract_x
_atom_site_fract_y
_atom_site_fract_z
K1 K 0.000 0.000 0.000
Te1 Te 0.000 0.500 0.000
Te2 Te 0.500 0.000 0.000
Bi1 Bi 0.500 0.500 0.500
N1 N 0.000 0.000 0.500
```

---

9.
Below is KBiTeN2 after structural relaxation, with properties calculated at the PBE-GGA level.

Summary:
Relative energy among the computed polymorphs = 0 meV/atom
Mass density = 4.722 g/cm³
Formation energy (no corrections) = 1.08 eV per atom
Crystal system = tetragonal
Calculated volume = 142 Å³/f.u.
Symmetry = No. 123

```
data_KBiTeN2
_chemical_formula_sum 'K1 Bi1 Te1 N2'
_cell_length_a 4.820
_cell_length_b 4.820
_cell_length_c 6.111
_cell_angle_alpha 90.00
_cell_angle_beta 90.00
_cell_angle_gamma 90.00
_symmetry_space_group_name_H-M 'P 1'
_symmetry_Int_Tables_number 1
_symmetry_space_group_name_Hall 'P 1'
loop_
_atom_site_label
_atom_site_type_symbol
_atom_site_fract_x
_atom_site_fract_y
_atom_site_fract_z
K1 K 0.500 0.500 0.500
Te1 Te 0.000 0.000 0.500
Bi1 Bi 0.000 0.000 0.000
N1 N 0.000 0.500 0.000
N2 N 0.500 0.000 0.000
```

---

10.
Below is KBiTe2N after structural relaxation, with properties calculated at the PBE-GGA level.

Summary:
Relative energy among the computed polymorphs = 0 meV/atom
Mass density = 4.854 g/cm³
Formation energy (no corrections) = 0.46 eV per atom
Crystal system = tetragonal
Calculated volume = 177 Å³/f.u.
Symmetry = No. 123

```
data_KBiTe2N
_chemical_formula_sum 'K1 Bi1 Te2 N1'
_cell_length_a 6.121
_cell_length_b 6.121
_cell_length_c 4.723
_cell_angle_alpha 90.00
_cell_angle_beta 90.00
_cell_angle_gamma 90.00
_symmetry_space_group_name_H-M 'P 1'
_symmetry_Int_Tables_number 1
_symmetry_space_group_name_Hall 'P 1'
loop_
_atom_site_label
_atom_site_type_symbol
_atom_site_fract_x
_atom_site_fract_y
_atom_site_fract_z
K1 K 0.500 0.500 0.500
Te1 Te 0.000 0.500 0.000
Te2 Te 0.500 0.000 0.000
Bi1 Bi 0.000 0.000 0.000
N1 N 0.000 0.000 0.500
```

---

11.
Below is KVBi2N after structural relaxation, with properties calculated at the PBE-GGA level.

Summary:
Mass density = 7.239 g/cm³
Formation energy (no corrections) = 0.32 eV per atom
Crystal system = tetragonal
Calculated volume = 120 Å³/f.u.
Symmetry = No. 123

```
data_KVBi2N
_chemical_formula_sum 'K1 V1 Bi2 N1'
_cell_length_a 5.577
_cell_length_b 3.850
_cell_length_c 5.577
_cell_angle_alpha 90.00
_cell_angle_beta 90.00
_cell_angle_gamma 90.00
_symmetry_space_group_name_H-M 'P 1'
_symmetry_Int_Tables_number 1
_symmetry_space_group_name_Hall 'P 1'
loop_
_atom_site_label
_atom_site_type_symbol
_atom_site_fract_x
_atom_site_fract_y
_atom_site_fract_z
K1 K 0.500 0.500 0.500
N1 N 0.000 0.000 0.000
Bi1 Bi 0.000 0.000 0.500
Bi2 Bi 0.500 0.000 0.000
V1 V 0.000 0.500 0.000
```

---

12.
Below is K2Na4Bi after structural relaxation, with properties calculated at the PBE-GGA level.

Summary:
Mass density = 1.755 g/cm³
Crystal system = tetragonal
ΔH_f (0 K) = -0.08 eV/atom
Calculated volume = 359 Å³/f.u.
Symmetry = No. 139

```
data_K2Na4Bi
_chemical_formula_sum 'K2 Na4 Bi1'
_cell_length_a 6.032
_cell_length_b 6.032
_cell_length_c 10.742
_cell_angle_alpha 106.31
_cell_angle_beta 106.31
_cell_angle_gamma 90.00
_symmetry_space_group_name_H-M 'P 1'
_symmetry_Int_Tables_number 1
_symmetry_space_group_name_Hall 'P 1'
loop_
_atom_site_label
_atom_site_type_symbol
_atom_site_fract_x
_atom_site_fract_y
_atom_site_fract_z
Na1 Na 0.841 0.841 0.682
Na2 Na 0.159 0.159 0.318
Na3 Na 0.000 0.500 0.000
Na4 Na 0.500 0.000 0.000
K1 K 0.646 0.646 0.293
K2 K 0.354 0.354 0.707
Bi1 Bi 0.000 0.000 0.000
```

---

Among the records above, which one has the highest calculated volume? K2Na4Bi

---

Repeat the fifth record exactly.
Below is KSr2BiN after structural relaxation, with properties calculated at the PBE-GGA level.

Summary:
Mass density = 4.840 g/cm³
Formation energy (no corrections) = -0.44 eV per atom
Crystal system = tetragonal
Calculated volume = 150 Å³/f.u.
Symmetry = No. 123

```
data_KSr2BiN
_chemical_formula_sum 'K1 Sr2 Bi1 N1'
_cell_length_a 5.322
_cell_length_b 5.322
_cell_length_c 5.298
_cell_angle_alpha 90.00
_cell_angle_beta 90.00
_cell_angle_gamma 90.00
_symmetry_space_group_name_H-M 'P 1'
_symmetry_Int_Tables_number 1
_symmetry_space_group_name_Hall 'P 1'
loop_
_atom_site_label
_atom_site_type_symbol
_atom_site_fract_x
_atom_site_fract_y
_atom_site_fract_z
Sr1 Sr 0.000 0.500 0.000
Sr2 Sr 0.500 0.000 0.000
K1 K 0.000 0.000 0.500
Bi1 Bi 0.500 0.500 0.500
N1 N 0.000 0.000 0.000
```

---

Which value of calculated volume does entry 6 give? 90 Å³/f.u.

---

Look up the mass density of the first one. 4.684 g/cm³